Record 1
Below is a relaxed Zr2ScVNi crystal, with properties calculated at the PBE level.

a = 5.0721 Å, b = 5.0721 Å, c = 4.2452 Å
α = 90.00°, β = 90.00°, γ = 90.00°
Last column: nearest neighbours and their distance in Å.
Space group P4/mmm (No. 123)
Symmetry-distinct sites (fractional):
Zr: 0.0000 0.5000 0.0000 [2 per cell]  2 Sc 2.54
Sc: 0.0000 0.0000 0.0000 [1 per cell]  2 Ni 2.12
V: 0.5000 0.5000 0.5000 [1 per cell]  8 Zr 3.31, 4 Ni 3.59
Ni: 0.0000 0.0000 0.5000 [1 per cell]  2 Sc 2.12

Results
raw total energy	-6.49	eV per atom


Record 2
Below is a relaxed MgAlBi2O6 crystal, with properties calculated at the PBE level.

a = 5.3866 Å, b = 5.6502 Å, c = 9.3826 Å
α = 90.00°, β = 124.78°, γ = 90.00°
Last column: nearest neighbours and their distance in Å.
Space group P2_1/c (No. 14)
Symmetry-distinct sites (fractional):
Mg: 0.0000 0.0000 0.0000 [2 per cell]  6 O 2.09-2.12
Al: 0.5000 0.0000 0.5000 [2 per cell]  6 O 1.93-1.95
Bi: 0.2388 0.0560 0.7491 [4 per cell]  4 O 2.28-2.39
O: 0.1598 0.1851 0.4548 [4 per cell]  1 Al 1.94, 1 Mg 2.12
O: 0.2700 0.7085 0.4510 [4 per cell]  1 Al 1.95, 1 Mg 2.12
O: 0.3591 0.0335 0.2605 [4 per cell]  1 Al 1.93, 1 Mg 2.09

Results
E_form (uncorrected)	-1859	meV per atom


Please write out number 1 again, unchanged.
Below is a relaxed Zr2ScVNi crystal, with properties calculated at the PBE level.

a = 5.0721 Å, b = 5.0721 Å, c = 4.2452 Å
α = 90.00°, β = 90.00°, γ = 90.00°
Last column: nearest neighbours and their distance in Å.
Space group P4/mmm (No. 123)
Symmetry-distinct sites (fractional):
Zr: 0.0000 0.5000 0.0000 [2 per cell]  2 Sc 2.54
Sc: 0.0000 0.0000 0.0000 [1 per cell]  2 Ni 2.12
V: 0.5000 0.5000 0.5000 [1 per cell]  8 Zr 3.31, 4 Ni 3.59
Ni: 0.0000 0.0000 0.5000 [1 per cell]  2 Sc 2.12

Results
raw total energy	-6.49	eV per atom


Please write out number 2 again, unchanged.
Below is a relaxed MgAlBi2O6 crystal, with properties calculated at the PBE level.

a = 5.3866 Å, b = 5.6502 Å, c = 9.3826 Å
α = 90.00°, β = 124.78°, γ = 90.00°
Last column: nearest neighbours and their distance in Å.
Space group P2_1/c (No. 14)
Symmetry-distinct sites (fractional):
Mg: 0.0000 0.0000 0.0000 [2 per cell]  6 O 2.09-2.12
Al: 0.5000 0.0000 0.5000 [2 per cell]  6 O 1.93-1.95
Bi: 0.2388 0.0560 0.7491 [4 per cell]  4 O 2.28-2.39
O: 0.1598 0.1851 0.4548 [4 per cell]  1 Al 1.94, 1 Mg 2.12
O: 0.2700 0.7085 0.4510 [4 per cell]  1 Al 1.95, 1 Mg 2.12
O: 0.3591 0.0335 0.2605 [4 per cell]  1 Al 1.93, 1 Mg 2.09

Results
E_form (uncorrected)	-1859	meV per atom